The following is a PBE calculation of crystalline Dy8ErBi6 at its relaxed geometry, from Alexandria.

The structure in POSCAR format:
```
Dy8ErBi6
1.0
3.813 2.201 9.842
-3.813 2.201 9.842
0.000 -4.403 9.842
Dy Er Bi
8 1 6
Direct
0.044 0.713 0.379
0.167 0.167 0.167
0.287 0.621 0.956
0.379 0.044 0.713
0.621 0.956 0.287
0.713 0.379 0.044
0.833 0.833 0.833
0.956 0.287 0.621
0.500 0.500 0.500
0.106 0.438 0.770
0.230 0.894 0.562
0.438 0.770 0.106
0.562 0.230 0.894
0.770 0.106 0.438
0.894 0.562 0.230
```

Space group: R-3
Calculated formation energy: -0.507 eV/atom
D(E_F): 9.42 states/eV/f.u.
Total DFT energy (no corrections): -4.8181 eV/atom